Density functional theory data (PBE) for a relaxed structure of Na3Tl3IO8.

Properties
As for the space group: R-3m. The uncorrected formation energy is -80.8 kJ/mol of atoms. The value obtained for the calculated total energy is -4.322 eV per atom.

Lattice parameters (Å, degrees): 6.9350 6.9350 6.9350 59.89 59.89 59.89
Sites, in units of the cell vectors:
1 Na 0.0000 0.5000 0.5000
2 Na 0.5000 0.0000 0.5000
3 Na 0.5000 0.5000 0.0000
4 Tl 0.0000 0.0000 0.5000
5 Tl 0.0000 0.5000 0.0000
6 Tl 0.5000 0.0000 0.0000
7 I 0.5000 0.5000 0.5000
8 O 0.2347 0.2347 0.2347
9 O 0.2765 0.7194 0.7194
10 O 0.2806 0.2806 0.7235
11 O 0.2806 0.7235 0.2806
12 O 0.7194 0.2765 0.7194
13 O 0.7194 0.7194 0.2765
14 O 0.7235 0.2806 0.2806
15 O 0.7653 0.7653 0.7653